w.
A relaxed structure of Hg3OsC, computed with PBE-GGA.

Geometry as POSCAR:
```
Hg3OsC
1.0
-2.307 -3.055 -2.469
3.921 -1.626 -1.652
0.227 -2.962 3.453
Hg C Os
3 1 1
Direct
0.500 0.000 0.000
0.000 0.500 0.000
0.000 0.000 0.500
0.000 0.000 0.000
0.500 0.500 0.500
```

x.
A relaxed structure of Hg3OsC, computed with PBE-GGA.

Geometry as POSCAR:
```
Hg3OsC
1.0
-3.131 3.935 -1.664
1.520 -0.902 -4.994
-3.993 -3.429 -0.595
Hg C Os
3 1 1
Direct
0.000 0.000 0.500
0.500 0.000 0.000
0.000 0.500 0.000
0.500 0.500 0.500
0.000 0.000 0.000
```

Calculated relative energies: w 0.0; x 26.8, given in kJ/mol of atoms

w.
A relaxed structure of HgOs3C, computed with PBE-GGA.

Geometry as POSCAR:
```
HgOs3C
1.0
4.143 0.000 0.000
0.000 4.143 0.000
0.000 0.000 4.143
Hg C Os
1 1 3
Direct
0.500 0.500 0.500
0.000 0.000 0.000
0.000 0.000 0.500
0.500 0.000 0.000
0.000 0.500 0.000
```

x.
A relaxed structure of HgOs3C, computed with PBE-GGA.

Geometry as POSCAR:
```
HgOs3C
1.0
5.017 0.000 0.000
0.000 5.017 0.000
0.000 0.000 5.017
C Hg Os
1 1 3
Direct
0.500 0.500 0.500
0.000 0.000 0.000
0.000 0.000 0.500
0.000 0.500 0.000
0.500 0.000 0.000
```

Calculated relative energies: w 0.0; x 356.8, given in kJ/mol of atoms

w.
A relaxed structure of HgOsC3, computed with PBE-GGA.

Geometry as POSCAR:
```
HgOsC3
1.0
4.072 0.000 0.000
0.000 4.072 0.000
0.000 0.000 4.072
C Os Hg
3 1 1
Direct
0.000 0.500 0.000
0.000 0.000 0.500
0.500 0.000 0.000
0.000 0.000 0.000
0.500 0.500 0.500
```

x.
A relaxed structure of HgOsC3, computed with PBE-GGA.

Geometry as POSCAR:
```
HgOsC3
1.0
-1.570 -0.115 -3.816
-3.700 -0.971 1.552
-0.941 4.010 0.266
Os Hg C
1 1 3
Direct
0.500 0.500 0.500
0.000 0.000 0.000
0.000 0.000 0.500
0.000 0.500 0.000
0.500 0.000 0.000
```

Calculated relative energies: w 0.0; x 200.3, given in kJ/mol of atoms